Record 1
A plane-wave DFT calculation with PBE-GGA was carried out for crystalline ZrTl2TeRh at its relaxed geometry.

Cell lengths 5.642, 5.422, 5.642 Å; angles 90.00, 90.00, 90.00 degrees
Fractional coordinates of all 5 atoms:
Tl 0.000 0.000 0.500
Tl 0.500 0.000 0.000
Te 0.000 0.500 0.000
Rh 0.500 0.500 0.500
Zr 0.000 0.000 0.000

N(E_F), states/eV/f.u.: 8.12
Uncorrected formation energy, meV per atom: 863

=====

Record 2
A plane-wave DFT calculation with PBE-GGA was carried out for crystalline ZrTlTe2Rh at its relaxed geometry.

Cell lengths 5.519, 5.650, 5.519 Å; angles 90.00, 90.00, 90.00 degrees
Fractional coordinates of all 5 atoms:
Zr 0.000 0.000 0.000
Te 0.000 0.000 0.500
Te 0.500 0.000 0.000
Rh 0.500 0.500 0.500
Tl 0.000 0.500 0.000

N(E_F), states/eV/f.u.: 5.81
Uncorrected formation energy, meV per atom: 645

=====

Record 3
A plane-wave DFT calculation with PBE-GGA was carried out for crystalline Zr2Tl3Te6Rh at its relaxed geometry.

Cell lengths 7.086, 7.086, 8.785 Å; angles 97.80, 97.80, 121.13 degrees
Fractional coordinates of all 12 atoms:
Te 0.374 0.052 0.188
Te 0.626 0.948 0.812
Te 0.763 0.763 0.213
Te 0.948 0.626 0.812
Te 0.052 0.374 0.188
Te 0.237 0.237 0.787
Tl 0.182 0.818 0.500
Tl 0.818 0.182 0.500
Tl 0.500 0.500 0.500
Rh 0.000 0.000 0.000
Zr 0.653 0.347 0.000
Zr 0.347 0.653 0.000

N(E_F), states/eV/f.u.: 7.70
Uncorrected formation energy, meV per atom: -501

=====

Record 4
A plane-wave DFT calculation with PBE-GGA was carried out for crystalline Tm3TeRh at its relaxed geometry.

Cell lengths 3.926, 7.117, 9.993 Å; angles 99.47, 90.00, 106.01 degrees
Fractional coordinates of all 10 atoms:
Tm 0.364 0.728 0.124
Tm 0.969 0.939 0.644
Tm 0.031 0.061 0.356
Tm 0.757 0.514 0.351
Tm 0.243 0.486 0.649
Tm 0.636 0.272 0.876
Rh 0.604 0.209 0.573
Rh 0.396 0.791 0.427
Te 0.137 0.273 0.115
Te 0.863 0.727 0.885

N(E_F), states/eV/f.u.: 3.77
Uncorrected formation energy, meV per atom: -843

=====

Record 5
A plane-wave DFT calculation with PBE-GGA was carried out for crystalline Tm4TeRh at its relaxed geometry.

Cell lengths 5.221, 10.833, 9.273 Å; angles 126.16, 90.00, 103.94 degrees
Fractional coordinates of all 12 atoms:
Rh 0.092 0.184 0.635
Rh 0.908 0.816 0.365
Te 0.844 0.687 0.741
Te 0.156 0.313 0.259
Tm 0.237 0.474 0.674
Tm 0.015 0.029 0.283
Tm 0.985 0.971 0.717
Tm 0.799 0.598 0.004
Tm 0.763 0.526 0.326
Tm 0.399 0.798 0.329
Tm 0.601 0.202 0.671
Tm 0.201 0.402 0.996

N(E_F), states/eV/f.u.: 3.27
Distance to the lowest polymorph of the same formula, eV per atom: 0.297
Uncorrected formation energy, meV per atom: -502

=====

Record 6
A plane-wave DFT calculation with PBE-GGA was carried out for crystalline Tm3Te2Rh at its relaxed geometry.

Cell lengths 4.111, 5.949, 7.832 Å; angles 112.32, 90.00, 90.00 degrees
Fractional coordinates of all 6 atoms:
Rh 0.000 0.000 0.000
Tm 0.000 0.500 0.000
Tm 0.500 0.123 0.245
Tm 0.500 0.877 0.755
Te 0.500 0.660 0.321
Te 0.500 0.340 0.679

N(E_F), states/eV/f.u.: 5.30
Distance to the lowest polymorph of the same formula, eV per atom: 0.088
Uncorrected formation energy, meV per atom: -966

=====

Record 7
A plane-wave DFT calculation with PBE-GGA was carried out for crystalline Tm7Te2Rh2 at its relaxed geometry.

Cell lengths 7.687, 7.018, 7.018 Å; angles 107.63, 98.23, 98.23 degrees
Fractional coordinates of all 11 atoms:
Te 0.500 0.302 0.698
Te 0.500 0.698 0.302
Tm 0.198 0.430 0.430
Tm 0.798 0.074 0.538
Tm 0.802 0.570 0.570
Tm 0.798 0.538 0.074
Tm 0.000 0.000 0.000
Tm 0.202 0.926 0.462
Tm 0.202 0.462 0.926
Rh 0.860 0.263 0.263
Rh 0.140 0.737 0.737

N(E_F), states/eV/f.u.: 10.55
Distance to the lowest polymorph of the same formula, eV per atom: 0.409
Uncorrected formation energy, meV per atom: -480

=====

Record 8
A plane-wave DFT calculation with PBE-GGA was carried out for crystalline Tm5Te2Rh at its relaxed geometry.

Cell lengths 4.037, 8.081, 13.069 Å; angles 90.00, 90.00, 90.00 degrees
Fractional coordinates of all 16 atoms:
Tm 0.000 0.000 0.500
Tm 0.000 0.500 0.000
Tm 0.500 0.669 0.414
Tm 0.000 0.335 0.317
Tm 0.500 0.169 0.086
Tm 0.500 0.331 0.586
Tm 0.000 0.835 0.183
Tm 0.500 0.831 0.914
Tm 0.000 0.165 0.817
Tm 0.000 0.665 0.683
Te 0.500 0.963 0.679
Te 0.500 0.537 0.179
Te 0.500 0.463 0.821
Te 0.500 0.037 0.321
Rh 0.000 0.000 0.000
Rh 0.000 0.500 0.500

N(E_F), states/eV/f.u.: 7.36
Distance to the lowest polymorph of the same formula, eV per atom: 0.000
Uncorrected formation energy, meV per atom: -843

=====

Record 9
A plane-wave DFT calculation with PBE-GGA was carried out for crystalline Tm5TeRh2 at its relaxed geometry.

Cell lengths 7.624, 7.624, 8.617 Å; angles 116.26, 116.26, 90.00 degrees
Fractional coordinates of all 16 atoms:
Tm 0.481 0.290 0.271
Tm 0.019 0.519 0.729
Tm 0.000 0.000 0.000
Tm 0.981 0.481 0.271
Tm 0.210 0.019 0.729
Tm 0.500 0.500 0.000
Tm 0.519 0.710 0.729
Tm 0.790 0.981 0.271
Tm 0.290 0.790 0.271
Tm 0.710 0.210 0.729
Rh 0.858 0.642 0.000
Rh 0.358 0.858 0.000
Rh 0.142 0.358 0.000
Rh 0.642 0.142 0.000
Te 0.250 0.250 0.500
Te 0.750 0.750 0.500

N(E_F), states/eV/f.u.: 7.82
Uncorrected formation energy, meV per atom: -848

=====

Record 10
A plane-wave DFT calculation with PBE-GGA was carried out for crystalline Tm5Te2Rh at its relaxed geometry.

Cell lengths 5.146, 8.468, 13.319 Å; angles 90.00, 90.00, 107.69 degrees
Fractional coordinates of all 16 atoms:
Tm 0.901 0.802 0.613
Tm 0.741 0.482 0.250
Tm 0.099 0.198 0.387
Tm 0.689 0.379 0.930
Tm 0.311 0.621 0.430
Tm 0.259 0.518 0.750
Tm 0.099 0.198 0.113
Tm 0.311 0.621 0.070
Tm 0.689 0.379 0.570
Tm 0.901 0.802 0.887
Te 0.089 0.178 0.615
Te 0.089 0.178 0.885
Te 0.911 0.822 0.385
Te 0.911 0.822 0.115
Rh 0.220 0.440 0.250
Rh 0.780 0.560 0.750

N(E_F), states/eV/f.u.: 7.11
Distance to the lowest polymorph of the same formula, eV per atom: 0.301
Uncorrected formation energy, meV per atom: -542

=====

Record 11
A plane-wave DFT calculation with PBE-GGA was carried out for crystalline Tm3Te2Rh at its relaxed geometry.

Cell lengths 4.178, 4.178, 9.630 Å; angles 102.53, 102.53, 90.00 degrees
Fractional coordinates of all 6 atoms:
Te 0.114 0.115 0.232
Te 0.755 0.756 0.516
Rh 0.434 0.436 0.874
Tm 0.295 0.296 0.594
Tm 0.574 0.575 0.154
Tm 0.934 0.936 0.874

N(E_F), states/eV/f.u.: 3.91
Distance to the lowest polymorph of the same formula, eV per atom: 0.000
Uncorrected formation energy, meV per atom: -1054

=====

Record 12
A plane-wave DFT calculation with PBE-GGA was carried out for crystalline Tm4TeRh at its relaxed geometry.

Cell lengths 3.907, 8.124, 19.206 Å; angles 90.00, 90.00, 90.00 degrees
Fractional coordinates of all 24 atoms:
Te 0.250 0.258 0.188
Te 0.750 0.742 0.812
Te 0.250 0.758 0.312
Te 0.750 0.242 0.688
Rh 0.750 0.736 0.050
Rh 0.250 0.764 0.550
Rh 0.750 0.236 0.450
Rh 0.250 0.264 0.950
Tm 0.250 0.138 0.352
Tm 0.250 0.543 0.715
Tm 0.750 0.008 0.932
Tm 0.250 0.043 0.785
Tm 0.250 0.142 0.549
Tm 0.250 0.492 0.432
Tm 0.750 0.508 0.568
Tm 0.750 0.457 0.285
Tm 0.250 0.992 0.068
Tm 0.250 0.642 0.951
Tm 0.750 0.358 0.049
Tm 0.750 0.862 0.648
Tm 0.750 0.362 0.852
Tm 0.750 0.858 0.451
Tm 0.250 0.638 0.148
Tm 0.750 0.957 0.215

N(E_F), states/eV/f.u.: 4.33
Distance to the lowest polymorph of the same formula, eV per atom: 0.000
Uncorrected formation energy, meV per atom: -799

=====

Record 13
A plane-wave DFT calculation with PBE-GGA was carried out for crystalline TmTeRh at its relaxed geometry.

Cell lengths 3.828, 3.828, 5.285 Å; angles 111.23, 111.23, 90.00 degrees
Fractional coordinates of all 3 atoms:
Tm 0.298 0.298 0.595
Rh 0.925 0.925 0.850
Te 0.627 0.627 0.255

N(E_F), states/eV/f.u.: 1.01
Uncorrected formation energy, meV per atom: -682

=====

Record 14
A plane-wave DFT calculation with PBE-GGA was carried out for crystalline TmTeRh at its relaxed geometry.

Cell lengths 3.803, 4.457, 4.457 Å; angles 120.00, 90.00, 90.00 degrees
Fractional coordinates of all 3 atoms:
Rh 0.208 0.667 0.333
Tm 0.653 0.333 0.667
Te 0.139 0.000 0.000

N(E_F), states/eV/f.u.: 1.27
Uncorrected formation energy, meV per atom: -934

=====

Record 15
A plane-wave DFT calculation with PBE-GGA was carried out for crystalline Tm3TeRh at its relaxed geometry.

Cell lengths 4.146, 8.532, 9.013 Å; angles 65.69, 76.70, 75.94 degrees
Fractional coordinates of all 10 atoms:
Rh 0.150 0.755 0.945
Rh 0.850 0.245 0.055
Tm 0.658 0.548 0.137
Tm 0.728 0.831 0.712
Tm 0.342 0.452 0.863
Tm 0.038 0.124 0.799
Tm 0.962 0.876 0.201
Tm 0.272 0.169 0.288
Te 0.616 0.248 0.521
Te 0.384 0.752 0.479

N(E_F), states/eV/f.u.: 2.58
Uncorrected formation energy, meV per atom: -845

=====

Record 16
A plane-wave DFT calculation with PBE-GGA was carried out for crystalline Tm7Te2Rh2 at its relaxed geometry.

Cell lengths 3.879, 9.305, 9.305 Å; angles 60.72, 77.97, 77.97 degrees
Fractional coordinates of all 11 atoms:
Tm 0.632 0.475 0.261
Tm 0.853 0.405 0.890
Tm 0.500 0.025 0.975
Tm 0.183 0.714 0.919
Tm 0.147 0.110 0.595
Tm 0.817 0.081 0.286
Tm 0.368 0.739 0.525
Te 0.500 0.361 0.639
Te 0.000 0.758 0.242
Rh 0.738 0.855 0.668
Rh 0.262 0.332 0.145

N(E_F), states/eV/f.u.: 8.45
Distance to the lowest polymorph of the same formula, eV per atom: 0.000
Uncorrected formation energy, meV per atom: -888

=====

Record 17
A plane-wave DFT calculation with PBE-GGA was carried out for crystalline Tm6Te3Rh at its relaxed geometry.

Cell lengths 3.885, 12.052, 12.347 Å; angles 104.91, 90.00, 90.00 degrees
Fractional coordinates of all 20 atoms:
Tm 0.750 0.783 0.765
Tm 0.250 0.226 0.687
Tm 0.750 0.774 0.313
Tm 0.750 0.962 0.152
Tm 0.750 0.491 0.649
Tm 0.250 0.583 0.888
Tm 0.750 0.097 0.443
Tm 0.750 0.417 0.112
Tm 0.250 0.217 0.235
Tm 0.250 0.509 0.351
Tm 0.250 0.903 0.557
Tm 0.250 0.038 0.848
Rh 0.250 0.953 0.324
Rh 0.750 0.047 0.676
Te 0.750 0.157 0.037
Te 0.750 0.382 0.855
Te 0.250 0.329 0.487
Te 0.250 0.618 0.145
Te 0.250 0.843 0.963
Te 0.750 0.671 0.513

N(E_F), states/eV/f.u.: 8.35
Uncorrected formation energy, meV per atom: -866

=====

Record 18
A plane-wave DFT calculation with PBE-GGA was carried out for crystalline Tm8Te2Rh at its relaxed geometry.

Cell lengths 7.006, 7.424, 7.424 Å; angles 55.50, 81.90, 81.90 degrees
Fractional coordinates of all 11 atoms:
Te 0.484 0.700 0.700
Te 0.516 0.300 0.300
Tm 0.152 0.077 0.600
Tm 0.691 0.902 0.902
Tm 0.309 0.098 0.098
Tm 0.779 0.455 0.455
Tm 0.221 0.545 0.545
Tm 0.152 0.600 0.077
Tm 0.848 0.400 0.923
Tm 0.848 0.923 0.400
Rh 0.000 0.000 0.000

N(E_F), states/eV/f.u.: 8.16
Uncorrected formation energy, meV per atom: -502